1.
This record from Alexandria describes crystalline CaPuBi2 at its relaxed geometry. The functional is PBE-GGA.

Structure (POSCAR):
```
CaPuBi2
1.0
3.710 0.000 0.000
0.000 3.710 0.000
0.000 0.000 8.734
Ca Bi Pu
1 2 1
Cartesian
1.855 1.855 4.367
0.000 0.000 2.176
0.000 0.000 6.558
1.855 1.855 0.000
```

* energy above the lowest structure with this stoichiometry: 0.002 eV per atom
* calculated formation energy: -195.7 kJ/mol of formula units
* energy: -26.12 eV per cell



2.
This record from Alexandria describes crystalline CaPu2Bi3 at its relaxed geometry. The functional is PBE-GGA.

Structure (POSCAR):
```
CaPu2Bi3
1.0
-5.307 -0.285 3.601
-3.085 -6.936 -5.095
6.517 -2.589 3.677
Ca Bi Pu
2 6 4
Cartesian
-0.773 -1.734 -1.273
-7.618 -5.488 -0.222
1.080 -1.561 1.470
-2.954 -8.250 0.714
-4.965 -5.345 -2.022
-0.461 -5.029 -1.079
-3.426 -1.877 0.528
-1.413 -4.782 3.262
1.312 -4.742 1.558
-0.230 -8.210 -0.990
-1.644 -1.601 3.173
-3.185 -5.069 0.625
```

* calculated formation energy: -249.9 kJ/mol of formula units
* energy: -89.80 eV per cell



3.
This record from Alexandria describes crystalline Ca2Pu2Bi2S at its relaxed geometry. The functional is PBE-GGA.

Structure (POSCAR):
```
Ca2Pu2Bi2S
1.0
5.228 0.000 0.000
0.000 5.228 0.000
-2.614 -2.614 8.323
Pu Ca S Bi
2 2 1 2
Cartesian
2.614 0.000 0.000
0.000 2.614 0.000
2.614 2.614 5.444
0.000 0.000 2.879
0.000 0.000 0.000
0.000 0.000 6.085
2.614 2.614 2.238
```

* uncorrected formation energy: -856 meV/atom
* energy: -50.55 eV per cell